No. 1
Density functional theory data (PBE) for an optimized crystal structure of MnPb2Br6.

E_form (uncorrected) in eV per atom: -0.84
Relative energy among the computed polymorphs in eV/atom: 0.0156
Total DFT energy (no corrections) in eV per formula unit: -34.16
Space-group type: P4_2/mnm, No. 136
Magnetization in μB/f.u.: 5.00
Fermi-level density of states in states/eV per cell: 0.0

a b c (Å): 6.9182 6.9182 13.1488
angles (deg): 90.00 90.00 90.00
With the nearest neighbours (Å) after each atom.
Fractional coordinates of all 18 atoms:
Mn 0.0000 0.0000 0.0000  6 Br 2.68-2.75
Mn 0.5000 0.5000 0.5000  6 Br 2.68-2.75
Pb 0.0000 0.0000 0.3347  6 Br 3.05-3.07
Pb 0.0000 0.0000 0.6653  6 Br 3.05-3.07
Pb 0.5000 0.5000 0.1653  6 Br 3.05-3.07
Pb 0.5000 0.5000 0.8347  6 Br 3.05-3.07
Br 0.1870 0.1870 0.1492  1 Mn 2.68
Br 0.1870 0.1870 0.8508  1 Mn 2.68
Br 0.2190 0.2190 0.5000  1 Mn 2.75, 2 Pb 3.05
Br 0.2810 0.7190 0.0000  1 Mn 2.75, 2 Pb 3.05
Br 0.3130 0.6870 0.3508  1 Mn 2.68
Br 0.3130 0.6870 0.6492  1 Mn 2.68
Br 0.6870 0.3130 0.3508  1 Mn 2.68
Br 0.6870 0.3130 0.6492  1 Mn 2.68
Br 0.7190 0.2810 0.0000  1 Mn 2.75, 2 Pb 3.05
Br 0.7810 0.7810 0.5000  1 Mn 2.75, 2 Pb 3.05
Br 0.8130 0.8130 0.1492  1 Mn 2.68
Br 0.8130 0.8130 0.8508  1 Mn 2.68

No. 2
Density functional theory data (PBE) for an optimized crystal structure of MnPbBr5.

E_form (uncorrected) in eV per atom: -0.73
Total DFT energy (no corrections) in eV per formula unit: -26.32
Space-group type: C2/c, No. 15
Magnetization in μB/f.u.: 4.00
Fermi-level density of states in states/eV per cell: 0.3

a b c (Å): 7.0659 7.0659 9.9686
angles (deg): 101.89 101.89 90.38
With the nearest neighbours (Å) after each atom.
Fractional coordinates of all 14 atoms:
Mn 0.0000 0.5000 0.0000  4 Br 2.40-2.49
Mn 0.5000 0.0000 0.5000  4 Br 2.40-2.49
Pb 0.0490 0.9510 0.7500  5 Br 2.90-3.21
Pb 0.9510 0.0490 0.2500  5 Br 2.90-3.21
Br 0.1959 0.2190 0.0459  1 Mn 2.49
Br 0.2190 0.1959 0.5459  1 Mn 2.49
Br 0.2205 0.5815 0.8647  1 Mn 2.40
Br 0.2406 0.7594 0.2500  1 Pb 2.90, 2 Mn 2.97
Br 0.4185 0.7795 0.6353  1 Mn 2.40
Br 0.5815 0.2205 0.3647  1 Mn 2.40
Br 0.7594 0.2406 0.7500  1 Pb 2.90, 2 Mn 2.97
Br 0.7795 0.4185 0.1353  1 Mn 2.40
Br 0.7810 0.8041 0.4541  1 Mn 2.49
Br 0.8041 0.7810 0.9541  1 Mn 2.49

No. 3
Density functional theory data (PBE) for an optimized crystal structure of Mn2PbBr.

E_form (uncorrected) in eV per atom: 0.50
Relative energy among the computed polymorphs in eV/atom: 0.3398
Total DFT energy (no corrections) in eV per formula unit: -21.73
Space-group type: Pmmm, No. 47
Magnetization in μB/f.u.: 7.88
Fermi-level density of states in states/eV per cell: 2.8

a b c (Å): 3.3084 4.7143 5.6609
angles (deg): 90.00 90.00 90.00
With the nearest neighbours (Å) after each atom.
Fractional coordinates of all 4 atoms:
Mn 0.0000 0.0000 0.0000  4 Br 2.88
Mn 0.5000 0.0000 0.5000  4 Pb 2.88
Pb 0.0000 0.5000 0.5000  4 Mn 2.88
Br 0.5000 0.5000 0.0000  4 Mn 2.88

No. 4
Density functional theory data (PBE) for an optimized crystal structure of Mn2PbBr.

E_form (uncorrected) in eV per atom: 0.76
Relative energy among the computed polymorphs in eV/atom: 0.5993
Total DFT energy (no corrections) in eV per formula unit: -20.70
Space-group type: F-43m, No. 216
Magnetization in μB/f.u.: 8.39
Fermi-level density of states in states/eV per cell: 4.0

a b c (Å): 5.1190 5.1190 5.1190
angles (deg): 60.00 60.00 60.00
With the nearest neighbours (Å) after each atom.
Fractional coordinates of all 4 atoms:
Mn 0.0000 0.0000 0.0000  4 Mn 3.13, 4 Pb 3.13
Mn 0.2500 0.2500 0.2500  4 Mn 3.13, 4 Br 3.13
Pb 0.7500 0.7500 0.7500  4 Mn 3.13, 4 Br 3.13
Br 0.5000 0.5000 0.5000  4 Mn 3.13, 4 Pb 3.13

No. 5
Density functional theory data (PBE) for an optimized crystal structure of Mn3PbBr.

E_form (uncorrected) in eV per atom: 0.93
Relative energy among the computed polymorphs in eV/atom: 0.0000
Total DFT energy (no corrections) in eV per formula unit: -28.26
Space-group type: Pm-3m, No. 221
Magnetization in μB/f.u.: 10.78
Fermi-level density of states in states/eV per cell: 4.6

a b c (Å): 4.7606 4.7606 4.7606
angles (deg): 90.00 90.00 90.00
With the nearest neighbours (Å) after each atom.
Fractional coordinates of all 5 atoms:
Mn 0.0000 0.0000 0.5000  2 Br 2.38
Mn 0.0000 0.5000 0.0000  2 Br 2.38
Mn 0.5000 0.0000 0.0000  2 Br 2.38
Pb 0.5000 0.5000 0.5000  12 Mn 3.37
Br 0.0000 0.0000 0.0000  6 Mn 2.38

No. 6
Density functional theory data (PBE) for an optimized crystal structure of Mn2PbBr.

E_form (uncorrected) in eV per atom: 0.46
Relative energy among the computed polymorphs in eV/atom: 0.3068
Total DFT energy (no corrections) in eV per formula unit: -21.87
Space-group type: P4/mmm, No. 123
Magnetization in μB/f.u.: 8.65
Fermi-level density of states in states/eV per cell: 3.5

a b c (Å): 5.2309 5.2309 3.2469
angles (deg): 90.00 90.00 90.00
With the nearest neighbours (Å) after each atom.
Fractional coordinates of all 4 atoms:
Mn 0.0000 0.5000 0.0000  4 Pb 3.08, 4 Br 3.08, 2 Mn 3.25
Mn 0.5000 0.0000 0.0000  4 Pb 3.08, 4 Br 3.08, 2 Mn 3.25
Pb 0.0000 0.0000 0.5000  8 Mn 3.08, 2 Pb 3.25
Br 0.5000 0.5000 0.5000  8 Mn 3.08, 2 Br 3.25

No. 7
Density functional theory data (PBE) for an optimized crystal structure of Mn2PbBr.

E_form (uncorrected) in eV per atom: 0.27
Relative energy among the computed polymorphs in eV/atom: 0.1136
Total DFT energy (no corrections) in eV per formula unit: -22.64
Space-group type: Cm, No. 8
Magnetization in μB/f.u.: 7.37
Fermi-level density of states in states/eV per cell: 1.9

a b c (Å): 6.7660 6.7660 4.6980
angles (deg): 90.10 90.10 27.83
With the nearest neighbours (Å) after each atom.
Fractional coordinates of all 4 atoms:
Mn 0.0000 0.0000 0.0000  2 Mn 2.78, 2 Br 2.81, 4 Pb 2.97
Mn 0.6718 0.6718 0.0009  2 Br 2.60, 2 Pb 2.76, 2 Mn 2.78
Pb 0.5611 0.5611 0.5003  6 Mn 2.76-2.97
Br 0.3259 0.3259 0.9984  4 Mn 2.60-2.81

No. 8
Density functional theory data (PBE) for an optimized crystal structure of Mn3PbBr9.

E_form (uncorrected) in eV per atom: -0.71
Total DFT energy (no corrections) in eV per formula unit: -55.57
Space-group type: Cc, No. 9
Magnetization in μB/f.u.: 14.00
Fermi-level density of states in states/eV per cell: 8.5

a b c (Å): 10.9597 10.9597 13.6168
angles (deg): 124.55 124.55 52.16
With the nearest neighbours (Å) after each atom.
Fractional coordinates of all 26 atoms:
Mn 0.0757 0.9243 0.5000  4 Br 2.44-2.53
Mn 0.2795 0.5452 0.6215  4 Br 2.38-2.46
Mn 0.5357 0.6953 0.4499  4 Br 2.45-2.54
Mn 0.5452 0.2795 0.1215  4 Br 2.38-2.46
Mn 0.6953 0.5357 0.9499  4 Br 2.45-2.54
Mn 0.9243 0.0757 0.0000  4 Br 2.44-2.53
Pb 0.0349 0.4839 0.7844  6 Br 2.99-3.19
Pb 0.4839 0.0349 0.2844  6 Br 2.99-3.19
Br 0.0275 0.7759 0.5560  2 Mn 2.45-2.53
Br 0.0577 0.7975 0.8686  1 Mn 2.44
Br 0.1064 0.1947 0.1945  1 Mn 2.45
Br 0.1686 0.3847 0.5821  1 Mn 2.38
Br 0.1947 0.1064 0.6945  1 Mn 2.45
Br 0.2475 0.7254 0.3574  2 Mn 2.52-2.53
Br 0.3483 0.4863 0.0235  1 Mn 2.40
Br 0.3847 0.1686 0.0821  1 Mn 2.38
Br 0.4316 0.7033 0.8134  2 Mn 2.46-2.54
Br 0.4863 0.3483 0.5235  1 Mn 2.40
Br 0.5411 0.9322 0.4741  1 Mn 2.46
Br 0.6545 0.6739 0.1539  1 Mn 2.45
Br 0.6739 0.6545 0.6539  1 Mn 2.45
Br 0.7033 0.4316 0.3134  2 Mn 2.46-2.54
Br 0.7254 0.2475 0.8574  2 Mn 2.52-2.53
Br 0.7759 0.0275 0.0560  2 Mn 2.45-2.53
Br 0.7975 0.0577 0.3686  1 Mn 2.44
Br 0.9322 0.5411 0.9741  1 Mn 2.46

No. 9
Density functional theory data (PBE) for an optimized crystal structure of MnPbBr3.

E_form (uncorrected) in eV per atom: -0.41
Relative energy among the computed polymorphs in eV/atom: 0.0000
Total DFT energy (no corrections) in eV per formula unit: -19.92
Space-group type: Pm-3m, No. 221
Magnetization in μB/f.u.: 4.11
Fermi-level density of states in states/eV per cell: 2.6

a b c (Å): 5.2711 5.2711 5.2711
angles (deg): 90.00 90.00 90.00
With the nearest neighbours (Å) after each atom.
Fractional coordinates of all 5 atoms:
Mn 0.0000 0.0000 0.0000  6 Br 2.64
Pb 0.5000 0.5000 0.5000  12 Br 3.73
Br 0.0000 0.0000 0.5000  2 Mn 2.64
Br 0.0000 0.5000 0.0000  2 Mn 2.64
Br 0.5000 0.0000 0.0000  2 Mn 2.64

No. 10
Density functional theory data (PBE) for an optimized crystal structure of Mn3PbBr8.

E_form (uncorrected) in eV per atom: -0.79
Total DFT energy (no corrections) in eV per formula unit: -54.09
Space-group type: C2/m, No. 12
Magnetization in μB/f.u.: 15.00
Fermi-level density of states in states/eV per cell: 0.0

a b c (Å): 8.1133 8.1133 8.3893
angles (deg): 119.73 119.73 60.01
With the nearest neighbours (Å) after each atom.
Fractional coordinates of all 12 atoms:
Mn 0.0000 0.0000 0.0000  6 Br 2.72-2.77
Mn 0.0000 0.5000 0.0000  6 Br 2.72-2.77
Mn 0.5000 0.0000 0.0000  6 Br 2.72-2.77
Pb 0.5000 0.5000 0.0000  6 Br 2.99
Br 0.2122 0.7592 0.2250  2 Mn 2.72, 1 Pb 2.99
Br 0.2403 0.2403 0.2153  3 Mn 2.77
Br 0.2408 0.2408 0.7752  2 Mn 2.72, 1 Pb 2.99
Br 0.2408 0.7878 0.7750  2 Mn 2.72, 1 Pb 2.99
Br 0.7592 0.2122 0.2250  2 Mn 2.72, 1 Pb 2.99
Br 0.7592 0.7592 0.2248  2 Mn 2.72, 1 Pb 2.99
Br 0.7597 0.7597 0.7847  3 Mn 2.77
Br 0.7878 0.2408 0.7750  2 Mn 2.72, 1 Pb 2.99